Compound: MnIO2
Source: Alexandria via LeMat-Bulk
Functional: PBE with a Hubbard U
Structure: relaxed

Computed properties:
The spin magnetization comes out at 4.6 μB per cell. For the volume, the calculation gives 15.2 A^3/atom. The calculation puts the uncorrected energy at -5.61 eV per atom. The calculation puts the density at 5.83 g cm⁻³. As for the symmetry: R-3m (166). The value obtained for the distance to the lowest polymorph of the same formula is 0.0 kJ per mole of atoms.

Cell: 6.5830 6.5830 6.5830 Å, 29.42 29.42 29.42°
Closest atoms and distances in Å follow each position.
Fractional coordinates of all 4 atoms:
O 0.8883 0.8883 0.8883  1 I 2.11, 3 Mn 2.19
O 0.1117 0.1117 0.1117  1 I 2.11, 3 Mn 2.19
I 0.0000 0.0000 0.0000  2 O 2.11
Mn 0.5000 0.5000 0.5000  6 O 2.19